{"formula": "Ba2CdGe2O7", "functional": "PBE", "state": "optimized geometry", "density_g_cm3": 5.0, "spacegroup": "P-42_1m", "e_form_raw_ev_per_fu": -25.2, "lattice": [[8.7747, 0.0000, 0.0000], [0.0000, 8.7747, 0.0000], [0.0000, 0.0000, 5.6121]], "species": ["Ba", "Ba", "Ba", "Ba", "Cd", "Cd", "Ge", "Ge", "Ge", "Ge", "O", "O", "O", "O", "O", "O", "O", "O", "O", "O", "O", "O", "O", "O"], "frac_coords": [[0.1659, 0.3341, 0.0060], [0.3341, 0.8341, 0.9940], [0.6659, 0.1659, 0.9940], [0.8341, 0.6659, 0.0060], [0.0000, 0.0000, 0.5000], [0.5000, 0.5000, 0.5000], [0.1370, 0.6370, 0.5517], [0.3630, 0.1370, 0.4483], [0.6370, 0.8630, 0.4483], [0.8630, 0.3630, 0.5517], [0.0000, 0.5000, 0.6693], [0.0776, 0.8034, 0.7092], [0.1397, 0.6397, 0.2419], [0.1966, 0.0776, 0.2908], [0.3034, 0.5776, 0.7092], [0.3603, 0.1397, 0.7581], [0.4224, 0.3034, 0.2908], [0.5000, 0.0000, 0.3307], [0.5776, 0.6966, 0.2908], [0.6397, 0.8603, 0.7581], [0.6966, 0.4224, 0.7092], [0.8034, 0.9224, 0.2908], [0.8603, 0.3603, 0.2419], [0.9224, 0.1966, 0.7092]]}



{"formula": "BaCdGeO4", "functional": "PBE", "state": "optimized geometry", "density_g_cm3": 5.5, "spacegroup": "P2_1/m", "e_form_raw_ev_per_fu": -13.1, "lattice": [[5.7731, 0.0000, 0.0000], [0.0000, 5.9721, 0.0000], [-2.0894, 0.0000, 6.7666]], "species": ["Ba", "Ba", "Cd", "Cd", "Ge", "Ge", "O", "O", "O", "O", "O", "O", "O", "O"], "frac_coords": [[0.2204, 0.2500, 0.4359], [0.7796, 0.7500, 0.5641], [0.3154, 0.2500, 0.9648], [0.6846, 0.7500, 0.0352], [0.2372, 0.7500, 0.1671], [0.7628, 0.2500, 0.8329], [0.0303, 0.7500, 0.9301], [0.0698, 0.7500, 0.3415], [0.4544, 0.5233, 0.2120], [0.4544, 0.9767, 0.2120], [0.5456, 0.0233, 0.7880], [0.5456, 0.4767, 0.7880], [0.9302, 0.2500, 0.6585], [0.9697, 0.2500, 0.0699]]}



{"formula": "BaCdGe2Os", "functional": "PBE", "state": "optimized geometry", "e_form_ev_per_atom": -0.10, "density_g_cm3": 7.8, "spacegroup": "P4/mmm", "lattice": [[4.8606, 0.0000, 0.0000], [0.0000, 4.8606, 0.0000], [0.0000, 0.0000, 5.2875]], "species": ["Ba", "Cd", "Ge", "Ge", "Os"], "frac_coords": [[0.0000, 0.0000, 0.0000], [0.5000, 0.5000, 0.0000], [0.0000, 0.5000, 0.5000], [0.5000, 0.0000, 0.5000], [0.5000, 0.5000, 0.5000]]}



{"formula": "Ba2Cd4Ge3Pb", "functional": "PBE", "state": "optimized geometry", "e_form_ev_per_atom": -0.33, "density_g_cm3": 7.0, "spacegroup": "P-4m2", "lattice": [[4.8106, 0.0000, 0.0000], [0.0000, 4.8106, 0.0000], [0.0000, 0.0000, 11.8634]], "species": ["Ba", "Ba", "Cd", "Cd", "Cd", "Cd", "Ge", "Ge", "Ge", "Pb"], "frac_coords": [[0.0000, 0.5000, 0.2408], [0.5000, 0.0000, 0.7592], [0.0000, 0.0000, 0.0000], [0.0000, 0.5000, 0.6436], [0.5000, 0.0000, 0.3564], [0.5000, 0.5000, 0.0000], [0.0000, 0.5000, 0.8708], [0.5000, 0.0000, 0.1292], [0.5000, 0.5000, 0.5000], [0.0000, 0.0000, 0.5000]]}



{"formula": "Ba2Cd4GePb3", "functional": "PBE", "state": "optimized geometry", "e_form_ev_per_atom": -0.29, "density_g_cm3": 7.7, "spacegroup": "P-4m2", "lattice": [[4.9608, 0.0000, 0.0000], [0.0000, 4.9608, 0.0000], [0.0000, 0.0000, 12.4925]], "species": ["Ba", "Ba", "Cd", "Cd", "Cd", "Cd", "Ge", "Pb", "Pb", "Pb"], "frac_coords": [[0.0000, 0.5000, 0.2446], [0.5000, 0.0000, 0.7554], [0.0000, 0.0000, 0.5000], [0.0000, 0.5000, 0.8727], [0.5000, 0.0000, 0.1273], [0.5000, 0.5000, 0.5000], [0.5000, 0.5000, 0.0000], [0.0000, 0.0000, 0.0000], [0.0000, 0.5000, 0.6393], [0.5000, 0.0000, 0.3607]]}



{"formula": "Ba2CdGePd", "functional": "PBE", "state": "optimized geometry", "e_form_ev_per_atom": -0.39, "density_g_cm3": 5.1, "spacegroup": "P4/mmm", "lattice": [[6.1885, 0.0000, 0.0000], [0.0000, 6.1885, 0.0000], [0.0000, 0.0000, 4.7689]], "species": ["Ba", "Ba", "Cd", "Ge", "Pd"], "frac_coords": [[0.0000, 0.5000, 0.0000], [0.5000, 0.0000, 0.0000], [0.0000, 0.0000, 0.5000], [0.5000, 0.5000, 0.5000], [0.5000, 0.5000, 0.0000]]}